[1]
Li2CaTl10 | PBE | optimized geometry

Unit cell a=10.8789 b=8.3680 c=8.2548 alpha=81.75 beta=49.57 gamma=48.67
Positions (direct):
Li 0.0000 0.0000 0.5000
Li 0.5000 0.5000 0.0000
Ca 0.0000 0.0000 0.0000
Tl 0.0000 0.5000 0.0000
Tl 0.0141 0.6525 0.3475
Tl 0.2885 0.5113 0.4887
Tl 0.3475 0.9859 0.0141
Tl 0.4887 0.7115 0.2885
Tl 0.5000 0.0000 0.5000
Tl 0.5113 0.2885 0.7115
Tl 0.6525 0.0141 0.9859
Tl 0.7115 0.4887 0.5113
Tl 0.9859 0.3475 0.6525

- DOS(E_F) (states/eV/atom) = 0.432
- ΔE_f (meV/atom) = -62

[2]
LiCa6Tl2 | PBE | optimized geometry

Unit cell a=10.3188 b=10.3281 c=5.4653 alpha=90.00 beta=90.00 gamma=90.00
Positions (direct):
Li 0.0000 0.0000 0.0000
Li 0.5000 0.5000 0.5000
Ca 0.0281 0.3107 0.0000
Ca 0.1234 0.8779 0.5000
Ca 0.1889 0.5292 0.5000
Ca 0.3111 0.0292 0.0000
Ca 0.3766 0.3779 0.0000
Ca 0.4719 0.8107 0.5000
Ca 0.5281 0.1893 0.5000
Ca 0.6234 0.6221 0.0000
Ca 0.6889 0.9708 0.0000
Ca 0.8111 0.4708 0.5000
Ca 0.8766 0.1221 0.5000
Ca 0.9719 0.6893 0.0000
Tl 0.2024 0.2036 0.5000
Tl 0.2976 0.7036 0.0000
Tl 0.7024 0.2964 0.0000
Tl 0.7976 0.7964 0.5000

- DOS(E_F) (states/eV/atom) = 0.652
- ΔE_f (meV/atom) = -211

[3]
Li3CaTl | PBE | optimized geometry

Unit cell a=6.1310 b=4.9272 c=8.3680 alpha=90.00 beta=107.53 gamma=90.00
Positions (direct):
Li 0.0251 0.2500 0.0903
Li 0.0402 0.7500 0.5868
Li 0.4401 0.7500 0.9038
Li 0.5599 0.2500 0.0962
Li 0.9598 0.2500 0.4132
Li 0.9749 0.7500 0.9097
Ca 0.3813 0.7500 0.3189
Ca 0.6187 0.2500 0.6811
Tl 0.1650 0.2500 0.7909
Tl 0.8350 0.7500 0.2091

- DOS(E_F) (states/eV/atom) = 0.475
- ΔE_f (meV/atom) = -174

[4]
Li2Ca2Tl | PBE | optimized geometry

Unit cell a=8.7085 b=8.7085 c=4.0627 alpha=90.00 beta=90.00 gamma=90.00
Positions (direct):
Li 0.1394 0.3606 0.0000
Li 0.3606 0.8606 0.0000
Li 0.6394 0.1394 0.0000
Li 0.8606 0.6394 0.0000
Ca 0.1550 0.6550 0.5000
Ca 0.3450 0.1550 0.5000
Ca 0.6550 0.8450 0.5000
Ca 0.8450 0.3450 0.5000
Tl 0.0000 0.0000 0.5000
Tl 0.5000 0.5000 0.5000

- DOS(E_F) (states/eV/atom) = 0.860
- ΔE_f (meV/atom) = 24

[5]
Li3Ca3Tl2 | PBE | optimized geometry

Unit cell a=6.1980 b=6.1980 c=15.6958 alpha=90.00 beta=90.00 gamma=132.64
Positions (direct):
Li 0.1269 0.8731 0.5342
Li 0.1269 0.8731 0.9658
Li 0.1711 0.8289 0.2500
Li 0.8289 0.1711 0.7500
Li 0.8731 0.1269 0.0342
Li 0.8731 0.1269 0.4658
Ca 0.1248 0.8752 0.7500
Ca 0.4072 0.5928 0.6080
Ca 0.4072 0.5928 0.8920
Ca 0.5928 0.4072 0.1080
Ca 0.5928 0.4072 0.3920
Ca 0.8752 0.1248 0.2500
Tl 0.3018 0.6982 0.1021
Tl 0.3018 0.6982 0.3979
Tl 0.6982 0.3018 0.6021
Tl 0.6982 0.3018 0.8979

- DOS(E_F) (states/eV/atom) = 0.639
- ΔE_f (meV/atom) = -224

[6]
Li2CaTl | PBE | optimized geometry

Unit cell a=3.7170 b=3.7170 c=7.3472 alpha=90.00 beta=90.00 gamma=90.00
Positions (direct):
Li 0.0000 0.0000 0.0000
Li 0.5000 0.5000 0.2023
Ca 0.5000 0.5000 0.6853
Tl 0.0000 0.0000 0.4023

- DOS(E_F) (states/eV/atom) = 0.832
- ΔE_f (meV/atom) = -172

Question: Which formula does entry 3 have?
Answer: Li3CaTl

What did the fourth record say?
Li2Ca2Tl | PBE | optimized geometry

Unit cell a=8.7085 b=8.7085 c=4.0627 alpha=90.00 beta=90.00 gamma=90.00
Positions (direct):
Li 0.1394 0.3606 0.0000
Li 0.3606 0.8606 0.0000
Li 0.6394 0.1394 0.0000
Li 0.8606 0.6394 0.0000
Ca 0.1550 0.6550 0.5000
Ca 0.3450 0.1550 0.5000
Ca 0.6550 0.8450 0.5000
Ca 0.8450 0.3450 0.5000
Tl 0.0000 0.0000 0.5000
Tl 0.5000 0.5000 0.5000

- DOS(E_F) (states/eV/atom) = 0.860
- ΔE_f (meV/atom) = 24

Question: What is the DOS(E_F) in the third record?
Answer: 0.475 states/eV/atom

Question: Among the records above, which one has the highest ΔE_f?
Answer: Li2Ca2Tl